The following is a meta-GGA SCAN calculation of a crystal of KMgBr2 relaxed with PBEsol, from the Alexandria database.

```
data_KMgBr2
_chemical_formula_sum 'K3 Mg3 Br6'
_symmetry_space_group_name_H-M 'R -3 m'
_symmetry_Int_Tables_number 166
_symmetry_space_group_name_Hall '-R 3 2"'
_cell_length_a 4.6014
_cell_length_b 4.6014
_cell_length_c 20.7419
_cell_angle_alpha 90.00
_cell_angle_beta 90.00
_cell_angle_gamma 120.00
loop_
_atom_site_label
_atom_site_type_symbol
_atom_site_fract_x
_atom_site_fract_y
_atom_site_fract_z
K1 K 0.0000 0.0000 0.0000
Mg1 Mg 0.0000 0.0000 0.5000
Br1 Br 0.0000 0.0000 0.2376
```

- Mass density: 2.92 g/cm³
- Uncorrected energy: -14.23 eV per atom
- Energy relative to the elements, uncorrected: -1.17 eV/atom
- Total moment: 0.183 μB per atom